No. 1
Material: Th8GeRh3Se4
Method: DFT, PBE
State: relaxed

abc: 8.3352 8.6108 8.3356
angles: 118.95 120.00 90.00
Closest atoms and distances in Å follow each position.
Positions (direct):
Th (0.2634, 0.2676, 0.0155)  2 Rh 2.90, 1 Ge 2.97, 3 Se 3.03-3.09
Th (0.7366, 0.7324, 0.9845)  2 Rh 2.90, 1 Ge 2.97, 3 Se 3.03-3.09
Th (0.7521, 0.2676, 0.0155)  2 Rh 2.90, 1 Ge 2.97, 3 Se 3.03-3.09
Th (0.2479, 0.7324, 0.9845)  2 Rh 2.90, 1 Ge 2.97, 3 Se 3.03-3.09
Th (0.7400, 0.7199, 0.4800)  3 Rh 2.87, 3 Se 3.13
Th (0.7521, 0.2677, 0.5042)  2 Rh 2.90, 1 Ge 2.97, 3 Se 3.03-3.09
Th (0.2479, 0.7323, 0.4958)  2 Rh 2.90, 1 Ge 2.97, 3 Se 3.03-3.09
Th (0.2600, 0.2801, 0.5200)  3 Rh 2.87, 3 Se 3.13
Rh (0.0000, 0.5000, 0.5000)  6 Th 2.87-2.90
Rh (0.5000, 0.5000, 0.0000)  6 Th 2.87-2.90
Rh (0.5000, 0.5000, 0.5000)  6 Th 2.87-2.90
Se (0.5000, 0.0000, 0.0000)  6 Th 3.03
Se (0.5000, 0.0000, 0.5000)  6 Th 3.09-3.13
Se (0.0000, 0.0000, 0.5000)  6 Th 3.09-3.13
Se (0.0000, 0.0000, 0.0000)  6 Th 3.09-3.13
Ge (0.0000, 0.5000, 0.0000)  6 Th 2.97

=====

No. 2
Material: SiGeRh
Method: DFT, PBE
State: relaxed

abc: 8.3443 5.4797 7.9744
angles: 90.00 90.00 90.00
Closest atoms and distances in Å follow each position.
Positions (direct):
Si (0.3522, 0.5000, 0.5000)  1 Si 2.47, 4 Rh 2.56
Si (0.8522, 0.0000, 0.5000)  1 Si 2.47, 4 Rh 2.56
Si (0.8522, 0.5000, 0.0000)  1 Si 2.47, 4 Rh 2.56
Si (0.6478, 0.5000, 0.5000)  1 Si 2.47, 4 Rh 2.56
Si (0.1478, 0.5000, 0.0000)  1 Si 2.47, 4 Rh 2.56
Si (0.6478, 0.0000, 0.0000)  1 Si 2.47, 4 Rh 2.56
Si (0.3522, 0.0000, 0.0000)  1 Si 2.47, 4 Rh 2.56
Si (0.1478, 0.0000, 0.5000)  1 Si 2.47, 4 Rh 2.56
Ge (0.5000, 0.0000, 0.6555)  1 Ge 2.48, 4 Rh 2.61
Ge (0.0000, 0.0000, 0.1555)  1 Ge 2.48, 4 Rh 2.61
Ge (0.0000, 0.5000, 0.3445)  1 Ge 2.48, 4 Rh 2.61
Ge (0.5000, 0.0000, 0.3445)  1 Ge 2.48, 4 Rh 2.61
Ge (0.5000, 0.5000, 0.1555)  1 Ge 2.48, 4 Rh 2.61
Ge (0.5000, 0.5000, 0.8445)  1 Ge 2.48, 4 Rh 2.61
Ge (0.0000, 0.5000, 0.6555)  1 Ge 2.48, 4 Rh 2.61
Ge (0.0000, 0.0000, 0.8445)  1 Ge 2.48, 4 Rh 2.61
Rh (0.7500, 0.2500, 0.7500)  4 Si 2.56, 4 Ge 2.61, 2 Rh 2.74
Rh (0.2500, 0.2500, 0.7500)  4 Si 2.56, 4 Ge 2.61, 2 Rh 2.74
Rh (0.7500, 0.2500, 0.2500)  4 Si 2.56, 4 Ge 2.61, 2 Rh 2.74
Rh (0.7500, 0.7500, 0.2500)  4 Si 2.56, 4 Ge 2.61, 2 Rh 2.74
Rh (0.2500, 0.2500, 0.2500)  4 Si 2.56, 4 Ge 2.61, 2 Rh 2.74
Rh (0.2500, 0.7500, 0.7500)  4 Si 2.56, 4 Ge 2.61, 2 Rh 2.74
Rh (0.7500, 0.7500, 0.7500)  4 Si 2.56, 4 Ge 2.61, 2 Rh 2.74
Rh (0.2500, 0.7500, 0.2500)  4 Si 2.56, 4 Ge 2.61, 2 Rh 2.74

=====

Looking at raw formation energy for the records above, in order, we have -1.186; -0.360 eV per atom.
Looking at VASP energy for the records above, in order, we have -7.434; -6.157 eV per atom.